Entry 1:
# Ag2PtSe

An optimized crystal structure of Ag2PtSe (PBE-GGA, Alexandria).

Values from the calculation:
Its final energy is -15.0 eV for the cell shown. The calculation puts the magnetization at 0.0 μB/f.u.

abc: 2.8842 4.4991 5.7392
angles: 90.00 104.53 90.00
Last column: nearest neighbours and their distance in Å.
Positions (direct):
Ag 0.0000 0.0000 0.0000  6 Ag 2.88-3.01, 3 Se 2.95-2.98, 4 Pt 3.05
Ag 0.3760 0.5000 0.7522  3 Pt 2.84-3.08, 6 Ag 2.88-3.01, 4 Se 3.10
Pt 0.6298 0.5000 0.2638  2 Se 2.52
Se 0.7325 0.0000 0.4686  2 Pt 2.52

Entry 2:
# AgPtSe2

An optimized crystal structure of AgPtSe2 (PBE-GGA, Alexandria).

Values from the calculation:
Its final energy is -15.3 eV for the cell shown. The calculation puts the magnetization at 0.0 μB/f.u.

abc: 4.1049 4.1049 7.5700
angles: 90.00 90.00 128.08
Last column: nearest neighbours and their distance in Å.
Positions (direct):
Ag 0.0000 0.0000 0.0000  4 Se 2.79
Pt 0.0000 0.0000 0.5000  4 Se 2.44
Se 0.5000 0.5000 0.2814  2 Pt 2.44
Se 0.5000 0.5000 0.7186  2 Pt 2.44

Entry 3:
# AgPt2Se

An optimized crystal structure of AgPt2Se (PBE-GGA, Alexandria).

Values from the calculation:
Its final energy is -17.3 eV for the cell shown. The calculation puts the magnetization at 0.0 μB/f.u.

abc: 4.5919 4.5919 4.5919
angles: 60.00 60.00 60.00
Last column: nearest neighbours and their distance in Å.
Positions (direct):
Ag 0.0000 0.0000 0.0000  4 Se 2.81, 4 Pt 2.81
Pt 0.5000 0.5000 0.5000  4 Pt 2.81, 4 Se 2.81
Pt 0.7500 0.7500 0.7500  4 Pt 2.81, 4 Ag 2.81
Se 0.2500 0.2500 0.2500  4 Pt 2.81, 4 Ag 2.81

Entry 4:
# AgPt2Se

An optimized crystal structure of AgPt2Se (PBE-GGA, Alexandria).

Values from the calculation:
Its final energy is -17.9 eV for the cell shown. The calculation puts the magnetization at 0.0 μB/f.u.

abc: 3.2464 3.5658 6.1383
angles: 90.00 90.00 90.00
Last column: nearest neighbours and their distance in Å.
Positions (direct):
Ag 0.0000 0.0000 0.0000  6 Pt 2.85-3.09, 4 Se 3.17
Pt 0.0000 0.0000 0.4959  4 Se 2.62, 4 Pt 2.85
Pt 0.5000 0.5000 0.2483  1 Se 2.55, 4 Pt 2.85, 4 Ag 2.85
Se 0.5000 0.5000 0.6636  5 Pt 2.55-2.62